1.
A plane-wave DFT calculation with PBE-GGA was carried out for a geometry-optimized Er8Ni2Ge structure.

Cell lengths 7.4499, 7.4499, 5.8265 Å; angles 98.74, 98.74, 113.32 degrees
With the nearest neighbours (Å) after each atom.
Element x y z (fractional)
Er (0.0000, 0.0000, 0.0000)  2 Ni 2.98, 1 Ge 3.11
Er (0.0197, 0.2871, 0.5701)  2 Ni 2.74-2.77, 1 Ge 3.02
Er (0.1320, 0.5880, 0.1811)  1 Ge 2.97, 2 Ni 3.02-3.16, 1 Er 3.30
Er (0.2871, 0.0197, 0.5701)  2 Ni 2.74-2.77, 1 Ge 3.02
Er (0.4382, 0.7002, 0.7805)  2 Ni 2.71-2.74
Er (0.5880, 0.1320, 0.1811)  1 Ge 2.97, 2 Ni 3.02-3.16, 1 Er 3.30
Er (0.7002, 0.4382, 0.7805)  2 Ni 2.71-2.74
Er (0.7429, 0.7429, 0.3838)  2 Ni 2.99, 1 Ge 2.99
Ni (0.0561, 0.6758, 0.6963)  7 Er 2.71-3.02
Ni (0.6758, 0.0561, 0.6963)  7 Er 2.71-3.02
Ge (0.3697, 0.3697, 0.3339)  8 Er 2.97-3.12

Computed properties:
Electronic total energy ... -5.009 eV per atom
Total magnetization ... 0.0 μB/f.u.
E_form ... -0.22 eV/atom

2.
A plane-wave DFT calculation with PBE-GGA was carried out for a geometry-optimized ErNiGe3 structure.

Cell lengths 11.8834, 5.5658, 5.4832 Å; angles 90.00, 90.00, 90.00 degrees
With the nearest neighbours (Å) after each atom.
Element x y z (fractional)
Er (0.1946, 0.0091, 0.2500)  9 Ge 2.94-3.07, 2 Ni 3.11
Er (0.1946, 0.4909, 0.7500)  9 Ge 2.94-3.07, 2 Ni 3.11
Er (0.8054, 0.5091, 0.2500)  9 Ge 2.94-3.07, 2 Ni 3.11
Er (0.8054, 0.9909, 0.7500)  9 Ge 2.94-3.07, 2 Ni 3.11
Ni (0.4002, 0.2500, 0.0000)  6 Ge 2.42-2.47
Ni (0.4002, 0.2500, 0.5000)  6 Ge 2.42-2.47
Ni (0.5998, 0.7500, 0.0000)  6 Ge 2.42-2.47
Ni (0.5998, 0.7500, 0.5000)  6 Ge 2.42-2.47
Ge (0.0015, 0.7500, 0.0000)  4 Ge 2.74-2.78, 4 Er 3.02-3.04
Ge (0.0015, 0.7500, 0.5000)  4 Ge 2.74-2.78, 4 Er 3.02-3.04
Ge (0.2899, 0.5213, 0.2500)  2 Ni 2.42
Ge (0.2899, 0.9787, 0.7500)  2 Ni 2.42
Ge (0.4397, 0.6098, 0.7500)  4 Ni 2.47, 1 Ge 2.72
Ge (0.4397, 0.8902, 0.2500)  4 Ni 2.47, 1 Ge 2.72
Ge (0.5603, 0.1098, 0.7500)  4 Ni 2.47, 1 Ge 2.72
Ge (0.5603, 0.3902, 0.2500)  4 Ni 2.47, 1 Ge 2.72
Ge (0.7101, 0.0213, 0.2500)  2 Ni 2.42
Ge (0.7101, 0.4787, 0.7500)  2 Ni 2.42
Ge (0.9985, 0.2500, 0.0000)  4 Ge 2.74-2.78, 4 Er 3.02-3.04
Ge (0.9985, 0.2500, 0.5000)  4 Ge 2.74-2.78, 4 Er 3.02-3.04

Computed properties:
Electronic total energy ... -5.293 eV per atom
Total magnetization ... 0.0 μB/f.u.
E_form ... -0.45 eV/atom

3.
A plane-wave DFT calculation with PBE-GGA was carried out for a geometry-optimized Er2NiGe3 structure.

Cell lengths 5.6104, 5.6104, 6.8520 Å; angles 127.28, 127.28, 43.88 degrees
With the nearest neighbours (Å) after each atom.
Element x y z (fractional)
Er (0.0000, 0.0000, 0.0000)  9 Ge 2.97-3.33, 3 Ni 3.23
Er (0.1161, 0.1161, 0.5997)  8 Ge 2.89-3.22, 3 Ni 3.00-3.06
Ni (0.3823, 0.3823, 0.5506)  4 Ge 2.36-2.49
Ge (0.3878, 0.3878, 0.1934)  1 Ni 2.49, 2 Ge 2.70
Ge (0.6742, 0.6742, 0.9392)  1 Ni 2.40
Ge (0.7445, 0.7445, 0.4257)  2 Ni 2.36

Computed properties:
Electronic total energy ... -5.465 eV per atom
Polymorph energy (0 for the lowest one) ... 12 meV/atom
Total magnetization ... 0.0 μB/f.u.
E_form ... -0.67 eV/atom

4.
A plane-wave DFT calculation with PBE-GGA was carried out for a geometry-optimized Er3Ni2Ge3 structure.

Cell lengths 5.5231, 5.5231, 14.0132 Å; angles 90.00, 90.00, 135.47 degrees
With the nearest neighbours (Å) after each atom.
Element x y z (fractional)
Er (0.0878, 0.9122, 0.6090)  4 Ni 2.96-3.16, 7 Ge 2.96-3.16
Er (0.0878, 0.9122, 0.8910)  4 Ni 2.96-3.16, 7 Ge 2.96-3.16
Er (0.3659, 0.6341, 0.7500)  5 Ge 2.94-3.04, 4 Ni 3.04
Er (0.6341, 0.3659, 0.2500)  5 Ge 2.94-3.04, 4 Ni 3.04
Er (0.9122, 0.0878, 0.1090)  4 Ni 2.96-3.16, 7 Ge 2.96-3.16
Er (0.9122, 0.0878, 0.3910)  4 Ni 2.96-3.16, 7 Ge 2.96-3.16
Ni (0.2013, 0.7987, 0.1006)  4 Ge 2.40-2.65
Ni (0.2013, 0.7987, 0.3994)  4 Ge 2.40-2.65
Ni (0.7987, 0.2013, 0.6006)  4 Ge 2.40-2.65
Ni (0.7987, 0.2013, 0.8994)  4 Ge 2.40-2.65
Ge (0.3366, 0.6634, 0.2500)  2 Ni 2.51
Ge (0.3768, 0.6232, 0.5382)  3 Ni 2.40-2.65
Ge (0.3768, 0.6232, 0.9618)  3 Ni 2.40-2.65
Ge (0.6232, 0.3768, 0.0382)  3 Ni 2.40-2.65
Ge (0.6232, 0.3768, 0.4618)  3 Ni 2.40-2.65
Ge (0.6634, 0.3366, 0.7500)  2 Ni 2.51

Computed properties:
Electronic total energy ... -5.717 eV per atom
Polymorph energy (0 for the lowest one) ... 0 meV/atom
Total magnetization ... 0.0 μB/f.u.
E_form ... -0.83 eV/atom

5.
A plane-wave DFT calculation with PBE-GGA was carried out for a geometry-optimized Er2NiGe3 structure.

Cell lengths 3.9798, 4.1888, 7.0389 Å; angles 90.00, 90.00, 90.00 degrees
With the nearest neighbours (Å) after each atom.
Element x y z (fractional)
Er (0.0000, 0.0000, 0.0000)  2 Ni 2.97, 10 Ge 3.13-3.24
Er (0.0000, 0.5000, 0.4902)  8 Ge 2.96-3.10, 4 Ni 3.15
Ni (0.5000, 0.0000, 0.3125)  3 Ge 2.28-2.29
Ge (0.5000, 0.0000, 0.6370)  1 Ni 2.28, 2 Ge 2.49
Ge (0.5000, 0.5000, 0.1796)  2 Ni 2.29, 1 Ge 2.47
Ge (0.5000, 0.5000, 0.8283)  3 Ge 2.47-2.49

Computed properties:
Electronic total energy ... -5.477 eV per atom
Polymorph energy (0 for the lowest one) ... 0 meV/atom
Total magnetization ... 0.0 μB/f.u.
E_form ... -0.68 eV/atom

6.
A plane-wave DFT calculation with PBE-GGA was carried out for a geometry-optimized Er2Ni3Ge4 structure.

Cell lengths 7.7247, 7.7247, 7.2289 Å; angles 90.00, 90.00, 137.79 degrees
With the nearest neighbours (Å) after each atom.
Element x y z (fractional)
Er (0.1106, 0.8894, 0.9068)  8 Ge 2.94-3.09, 6 Ni 2.96-3.29
Er (0.3894, 0.6106, 0.4068)  8 Ge 2.94-3.09, 6 Ni 2.96-3.29
Er (0.6106, 0.3894, 0.5932)  8 Ge 2.94-3.09, 6 Ni 2.96-3.29
Er (0.8894, 0.1106, 0.0932)  8 Ge 2.94-3.09, 6 Ni 2.96-3.29
Ni (0.0000, 0.0000, 0.5000)  6 Ge 2.43-2.65
Ni (0.0241, 0.4759, 0.7500)  5 Ge 2.42-2.51
Ni (0.4759, 0.0241, 0.2500)  5 Ge 2.42-2.51
Ni (0.5000, 0.5000, 0.0000)  6 Ge 2.43-2.65
Ni (0.5241, 0.9759, 0.7500)  5 Ge 2.42-2.51
Ni (0.9759, 0.5241, 0.2500)  5 Ge 2.42-2.51
Ge (0.1834, 0.8166, 0.5260)  5 Ni 2.50-2.65
Ge (0.1917, 0.3083, 0.7500)  3 Ni 2.42-2.43
Ge (0.3083, 0.1917, 0.2500)  3 Ni 2.42-2.43
Ge (0.3166, 0.6834, 0.0260)  5 Ni 2.50-2.65
Ge (0.6834, 0.3166, 0.9740)  5 Ni 2.50-2.65
Ge (0.6917, 0.8083, 0.7500)  3 Ni 2.42-2.43
Ge (0.8083, 0.6917, 0.2500)  3 Ni 2.42-2.43
Ge (0.8166, 0.1834, 0.4740)  5 Ni 2.50-2.65

Computed properties:
Electronic total energy ... -5.621 eV per atom
Total magnetization ... 0.0 μB/f.u.
E_form ... -0.63 eV/atom

7.
A plane-wave DFT calculation with PBE-GGA was carried out for a geometry-optimized Er3NiGe2 structure.

Cell lengths 11.2906, 4.1382, 11.2073 Å; angles 90.00, 90.00, 90.00 degrees
With the nearest neighbours (Å) after each atom.
Element x y z (fractional)
Er (0.0566, 0.2500, 0.1279)  1 Ni 2.82, 5 Ge 2.96-3.13
Er (0.1191, 0.7500, 0.5579)  3 Ni 2.93-2.97, 5 Ge 2.96-3.05
Er (0.2196, 0.2500, 0.8028)  2 Ni 2.77, 4 Ge 2.97-3.02
Er (0.2804, 0.7500, 0.3028)  2 Ni 2.77, 4 Ge 2.97-3.02
Er (0.3809, 0.2500, 0.0579)  3 Ni 2.93-2.97, 5 Ge 2.96-3.05
Er (0.4434, 0.7500, 0.6279)  1 Ni 2.82, 5 Ge 2.96-3.13
Er (0.5566, 0.2500, 0.3721)  1 Ni 2.82, 5 Ge 2.96-3.13
Er (0.6191, 0.7500, 0.9421)  3 Ni 2.93-2.97, 5 Ge 2.96-3.05
Er (0.7196, 0.2500, 0.6972)  2 Ni 2.77, 4 Ge 2.97-3.02
Er (0.7804, 0.7500, 0.1972)  2 Ni 2.77, 4 Ge 2.97-3.02
Er (0.8809, 0.2500, 0.4421)  3 Ni 2.93-2.97, 5 Ge 2.96-3.05
Er (0.9434, 0.7500, 0.8721)  1 Ni 2.82, 5 Ge 2.96-3.13
Ni (0.1301, 0.2500, 0.3682)  3 Ge 2.48-2.51, 2 Er 2.77
Ni (0.3699, 0.7500, 0.8682)  3 Ge 2.48-2.51, 2 Er 2.77
Ni (0.6301, 0.2500, 0.1318)  3 Ge 2.48-2.51, 2 Er 2.77
Ni (0.8699, 0.7500, 0.6318)  3 Ge 2.48-2.51, 2 Er 2.77
Ge (0.0174, 0.7500, 0.3127)  2 Ni 2.51
Ge (0.1916, 0.7500, 0.9975)  1 Ni 2.48
Ge (0.3084, 0.2500, 0.4975)  1 Ni 2.48
Ge (0.4826, 0.2500, 0.8127)  2 Ni 2.51
Ge (0.5174, 0.7500, 0.1873)  2 Ni 2.51
Ge (0.6916, 0.7500, 0.5025)  1 Ni 2.48
Ge (0.8084, 0.2500, 0.0025)  1 Ni 2.48
Ge (0.9826, 0.2500, 0.6873)  2 Ni 2.51

Computed properties:
Electronic total energy ... -5.585 eV per atom
Total magnetization ... 0.0 μB/f.u.
E_form ... -0.80 eV/atom

8.
A plane-wave DFT calculation with PBE-GGA was carried out for a geometry-optimized ErNi2Ge2 structure.

Cell lengths 5.6669, 5.6669, 5.6669 Å; angles 138.12, 138.12, 60.73 degrees
With the nearest neighbours (Å) after each atom.
Element x y z (fractional)
Er (0.0000, 0.0000, 0.0000)  8 Ge 3.13, 8 Ni 3.17
Ni (0.2500, 0.7500, 0.5000)  4 Ge 2.35
Ni (0.7500, 0.2500, 0.5000)  4 Ge 2.35
Ge (0.3721, 0.3721, 0.0000)  4 Ni 2.35, 1 Ge 2.50
Ge (0.6279, 0.6279, 0.0000)  4 Ni 2.35, 1 Ge 2.50

Computed properties:
Electronic total energy ... -5.751 eV per atom
Total magnetization ... 0.0 μB/f.u.
E_form ... -0.68 eV/atom

9.
A plane-wave DFT calculation with PBE-GGA was carried out for a geometry-optimized Er4NiGe8 structure.

Cell lengths 3.9738, 4.0690, 16.0501 Å; angles 90.00, 90.00, 90.00 degrees
With the nearest neighbours (Å) after each atom.
Element x y z (fractional)
Er (0.0000, 0.0000, 0.0000)  10 Ge 2.93-3.12
Er (0.0000, 0.5000, 0.4946)  10 Ge 2.96-3.27
Er (0.5000, 0.0000, 0.7893)  10 Ge 3.02-3.35, 4 Ni 3.12
Er (0.5000, 0.5000, 0.2879)  10 Ge 2.94-3.18
Ni (0.0000, 0.5000, 0.7086)  5 Ge 2.32-2.38
Ge (0.0000, 0.0000, 0.3348)  2 Ge 2.61
Ge (0.0000, 0.0000, 0.6318)  2 Ni 2.38
Ge (0.0000, 0.5000, 0.1413)  4 Ge 2.85, 4 Er 3.05-3.08
Ge (0.0000, 0.5000, 0.8530)  1 Ni 2.32, 2 Ge 2.57
Ge (0.5000, 0.0000, 0.1468)  4 Ge 2.85, 4 Er 3.04-3.08
Ge (0.5000, 0.0000, 0.4398)  2 Ge 2.61
Ge (0.5000, 0.5000, 0.6313)  2 Ni 2.34
Ge (0.5000, 0.5000, 0.9549)  2 Ge 2.57

Computed properties:
Electronic total energy ... -5.325 eV per atom
Total magnetization ... 0.0 μB/f.u.
E_form ... -0.63 eV/atom

10.
A plane-wave DFT calculation with PBE-GGA was carried out for a geometry-optimized ErNiGe2 structure.

Cell lengths 5.5894, 5.5894, 5.5894 Å; angles 42.00, 42.00, 42.00 degrees
With the nearest neighbours (Å) after each atom.
Element x y z (fractional)
Er (0.0000, 0.0000, 0.0000)  6 Ge 2.89
Ni (0.5000, 0.5000, 0.5000)  6 Ge 2.45
Ge (0.2193, 0.2193, 0.2193)  3 Ni 2.45
Ge (0.7807, 0.7807, 0.7807)  3 Ni 2.45

Computed properties:
Electronic total energy ... -5.518 eV per atom
Total magnetization ... 0.0 μB/f.u.
E_form ... -0.62 eV/atom